# CoReOsSeO

CoReOsSeO after structural relaxation (GGA+U, the Alexandria database).

Cell and atoms, written as POSCAR:
```
CoReOsSeO
1.0
-1.054 -1.468 2.068
-0.120 -3.051 -2.227
7.762 -1.261 1.308
Co Re Os Se O
1 1 1 1 1
Cartesian
4.977 -1.005 1.107 Co
1.446 -1.871 2.486 Re
3.062 -3.012 0.755 Os
5.409 -3.633 1.478 Se
0.658 -0.785 1.040 O
```

Total energy ... -37.86 eV/cell
Space group ... Pm